[1]
The following is a DFT calculation (PBE-GGA) of Cu2GeRuO after structural relaxation.

a = 3.745 Å, b = 3.745 Å, c = 4.716 Å
α = 90.00°, β = 90.00°, γ = 90.00°
Space group P4/mmm (No. 123)
Unique sites:
Cu  0.000  0.500  0.000 (multiplicity 2)
Ge  0.000  0.000  0.500 (multiplicity 1)
Ru  0.500  0.500  0.500 (multiplicity 1)
O  0.000  0.000  0.000 (multiplicity 1)

Energy relative to the elements, uncorrected: 0.1158 eV/atom
E_tot: -5.293 eV/atom


[2]
The following is a DFT calculation (PBE-GGA) of SrGaSi after structural relaxation.

a = 4.2114 Å, b = 4.2114 Å, c = 4.7296 Å
α = 90.00°, β = 90.00°, γ = 120.00°
Space group P-6m2 (No. 187)
Unique sites:
Sr  0.0000  0.0000  0.0000 (multiplicity 1)
Ga  0.3333  0.6667  0.5000 (multiplicity 1)
Si  0.6667  0.3333  0.5000 (multiplicity 1)

Energy relative to the elements, uncorrected: -0.4640 eV/atom
E_tot: -3.841 eV/atom


[3]
The following is a DFT calculation (PBE-GGA) of SrInMo2 after structural relaxation.

a = 4.194 Å, b = 4.194 Å, c = 4.841 Å
α = 90.00°, β = 90.00°, γ = 90.00°
Space group P4/mmm (No. 123)
Unique sites:
Sr  0.000  0.000  0.000 (multiplicity 1)
In  0.500  0.500  0.000 (multiplicity 1)
Mo  0.000  0.500  0.500 (multiplicity 2)

E_tot: -5.575 eV/atom


[4]
The following is a DFT calculation (PBE-GGA) of HfNi2Ir after structural relaxation.

a = 3.742 Å, b = 3.742 Å, c = 17.804 Å
α = 90.00°, β = 90.00°, γ = 90.00°
Space group I-42d (No. 122)
Unique sites:
Hf  0.000  0.000  0.000 (multiplicity 4)
Ni  0.221  0.250  0.625 (multiplicity 8)
Ir  0.000  0.000  0.500 (multiplicity 4)

E_tot: -7.694 eV/atom